No. 1
# ScMn3Tl PBE optimized geometry
# M_tot = 11.40 μB/f.u.
# Calculated formation energy = 1184 meV/atom
# Energy relative to the lowest polymorph listed for this composition = 0.0 kJ per mole of atoms
data_ScMn3Tl
_space_group_name_H-M_alt 'P m -3 m'
_space_group_IT_number 221
_space_group_name_Hall '-P 4 2 3'
_cell_length_a 5.019
_cell_length_b 5.019
_cell_length_c 5.019
_cell_angle_alpha 90.00
_cell_angle_beta 90.00
_cell_angle_gamma 90.00
loop_
_atom_site_label
_atom_site_type_symbol
_atom_site_fract_x
_atom_site_fract_y
_atom_site_fract_z
Sc1 Sc 0.000 0.000 0.000
Mn1 Mn 0.000 0.500 0.500
Tl1 Tl 0.500 0.500 0.500



No. 2
# ScMn2Tl PBE optimized geometry
# M_tot = 5.67 μB/f.u.
# Calculated formation energy = 204 meV/atom
data_ScMn2Tl
_space_group_name_H-M_alt 'I 4/m m m'
_space_group_IT_number 139
_space_group_name_Hall '-I 4 2'
_cell_length_a 4.138
_cell_length_b 4.138
_cell_length_c 8.238
_cell_angle_alpha 90.00
_cell_angle_beta 90.00
_cell_angle_gamma 90.00
loop_
_atom_site_label
_atom_site_type_symbol
_atom_site_fract_x
_atom_site_fract_y
_atom_site_fract_z
Sc1 Sc 0.000 0.000 0.000
Mn1 Mn 0.000 0.500 0.250
Tl1 Tl 0.000 0.000 0.500



No. 3
# Sc2MnTl PBE optimized geometry
# M_tot = 3.57 μB/f.u.
# Calculated formation energy = 67 meV/atom
data_Sc2MnTl
_space_group_name_H-M_alt 'P 4 m m'
_space_group_IT_number 99
_cell_length_a 3.327
_cell_length_b 3.327
_cell_length_c 7.709
_cell_angle_alpha 90.00
_cell_angle_beta 90.00
_cell_angle_gamma 90.00
loop_
_space_group_symop_operation_xyz
'x,y,z'
'-y,x,z'
'-x,-y,z'
'y,-x,z'
'-x,y,z'
'y,x,z'
'x,-y,z'
'-y,-x,z'
loop_
_atom_site_label
_atom_site_type_symbol
_atom_site_fract_x
_atom_site_fract_y
_atom_site_fract_z
Sc1 Sc 0.000 0.000 0.000
Sc2 Sc 0.500 0.500 0.300
Mn1 Mn 0.500 0.500 0.787
Tl1 Tl 0.000 0.000 0.566



No. 4
# Sc2MnTl PBE optimized geometry
# M_tot = 2.68 μB/f.u.
# Calculated formation energy = -35 meV/atom
data_Sc2MnTl
_space_group_name_H-M_alt 'I 4/m m m'
_space_group_IT_number 139
_space_group_name_Hall '-I 4 2'
_cell_length_a 4.603
_cell_length_b 4.603
_cell_length_c 7.870
_cell_angle_alpha 90.00
_cell_angle_beta 90.00
_cell_angle_gamma 90.00
loop_
_atom_site_label
_atom_site_type_symbol
_atom_site_fract_x
_atom_site_fract_y
_atom_site_fract_z
Sc1 Sc 0.000 0.500 0.250
Mn1 Mn 0.000 0.000 0.000
Tl1 Tl 0.000 0.000 0.500



No. 5
# Sc2Mn2Tl PBE optimized geometry
# M_tot = 5.22 μB/f.u.
# Calculated formation energy = 467 meV/atom
data_Sc2Mn2Tl
_space_group_name_H-M_alt 'I 4/m m m'
_space_group_IT_number 139
_space_group_name_Hall '-I 4 2'
_cell_length_a 4.231
_cell_length_b 4.231
_cell_length_c 11.451
_cell_angle_alpha 90.00
_cell_angle_beta 90.00
_cell_angle_gamma 90.00
loop_
_atom_site_label
_atom_site_type_symbol
_atom_site_fract_x
_atom_site_fract_y
_atom_site_fract_z
Sc1 Sc 0.000 0.500 0.250
Mn1 Mn 0.000 0.000 0.095
Tl1 Tl 0.000 0.000 0.500



No. 6
# ScMnTl4 PBE optimized geometry
# M_tot = 3.60 μB/f.u.
# Calculated formation energy = 514 meV/atom
data_ScMnTl4
_space_group_name_H-M_alt 'F -4 3 m'
_space_group_IT_number 216
_space_group_name_Hall 'F -4 2 3'
_cell_length_a 8.704
_cell_length_b 8.704
_cell_length_c 8.704
_cell_angle_alpha 90.00
_cell_angle_beta 90.00
_cell_angle_gamma 90.00
loop_
_atom_site_label
_atom_site_type_symbol
_atom_site_fract_x
_atom_site_fract_y
_atom_site_fract_z
Sc1 Sc 0.000 0.000 0.000
Mn1 Mn 0.250 0.250 0.250
Tl1 Tl 0.125 0.125 0.625



No. 7
# Sc2MnTl PBE optimized geometry
# M_tot = 0.00 μB/f.u.
# Calculated formation energy = 358 meV/atom
data_Sc2MnTl
_space_group_name_H-M_alt 'I -4 2 d'
_space_group_IT_number 122
_space_group_name_Hall 'I -4 2bw'
_cell_length_a 7.571
_cell_length_b 7.571
_cell_length_c 5.718
_cell_angle_alpha 90.00
_cell_angle_beta 90.00
_cell_angle_gamma 90.00
loop_
_atom_site_label
_atom_site_type_symbol
_atom_site_fract_x
_atom_site_fract_y
_atom_site_fract_z
Sc1 Sc 0.187 0.250 0.125
Mn1 Mn 0.000 0.000 0.000
Tl1 Tl 0.000 0.000 0.500



No. 8
# Sc2MnTl PBE optimized geometry
# M_tot = 2.14 μB/f.u.
# Calculated formation energy = 53 meV/atom
data_Sc2MnTl
_space_group_name_H-M_alt 'R -3 m'
_space_group_IT_number 166
_space_group_name_Hall '-R 3 2"'
_cell_length_a 3.2568
_cell_length_b 3.2568
_cell_length_c 27.9512
_cell_angle_alpha 90.00
_cell_angle_beta 90.00
_cell_angle_gamma 120.00
loop_
_atom_site_label
_atom_site_type_symbol
_atom_site_fract_x
_atom_site_fract_y
_atom_site_fract_z
Sc1 Sc 0.0000 0.0000 0.2414
Mn1 Mn 0.0000 0.0000 0.5000
Tl1 Tl 0.0000 0.0000 0.0000



no.,final energy (eV/cell)
1,-30.3
2,-52.4
3,-23.9
4,-48.7
5,-62.1
6,-87.5
7,-91.1
8,-72.0